Entry 1:
This record from the Alexandria database describes AgTe6Br3 after structural relaxation. The functional is PBE.

Properties
DFT total energy = -2.718 eV/atom

a = 10.6926 Å, b = 10.6926 Å, c = 10.6926 Å
α = 118.44°, β = 118.44°, γ = 118.44°
Sites, in units of the cell vectors:
Ag  0.0000  0.0000  0.0000
Te  0.1017  0.7099  0.7099
Te  0.1473  0.1473  0.7231
Te  0.1473  0.7231  0.1473
Te  0.7099  0.1017  0.7099
Te  0.7099  0.7099  0.1017
Te  0.7231  0.1473  0.1473
Br  0.3660  0.5661  0.5661
Br  0.5661  0.3660  0.5661
Br  0.5661  0.5661  0.3660


Entry 2:
This record from the Alexandria database describes Ag2TeBr after structural relaxation. The functional is PBE.

Properties
ΔE to the lowest computed polymorph = 9.3 kJ/mol of atoms

a = 4.2528 Å, b = 4.2528 Å, c = 21.2141 Å
α = 90.00°, β = 90.00°, γ = 120.00°
Sites, in units of the cell vectors:
Ag  0.0000  0.0000  0.0000
Ag  0.0000  0.0000  0.2596
Ag  0.3333  0.6667  0.6667
Ag  0.3333  0.6667  0.9263
Ag  0.6667  0.3333  0.3333
Ag  0.6667  0.3333  0.5929
Te  0.0000  0.0000  0.7219
Te  0.3333  0.6667  0.3886
Te  0.6667  0.3333  0.0552
Br  0.0000  0.0000  0.5315
Br  0.3333  0.6667  0.1982
Br  0.6667  0.3333  0.8649


Entry 3:
This record from the Alexandria database describes Ag3TeBr2 after structural relaxation. The functional is PBE.

Properties
ΔE to the lowest computed polymorph = 2.1 kJ/mol of atoms

a = 7.3760 Å, b = 7.3760 Å, c = 7.7810 Å
α = 105.28°, β = 105.28°, γ = 47.78°
Sites, in units of the cell vectors:
Ag  0.0015  0.9985  0.7500
Ag  0.3371  0.3366  0.4185
Ag  0.3366  0.3371  0.9185
Ag  0.6634  0.6629  0.0815
Ag  0.6629  0.6634  0.5815
Ag  0.9985  0.0015  0.2500
Te  0.4991  0.5009  0.2500
Te  0.5009  0.4991  0.7500
Br  0.1772  0.1770  0.0886
Br  0.1770  0.1772  0.5886
Br  0.8230  0.8228  0.4114
Br  0.8228  0.8230  0.9114


Entry 4:
This record from the Alexandria database describes Ag2TeBr after structural relaxation. The functional is PBE.

Properties
ΔE to the lowest computed polymorph = 3.8 kJ/mol of atoms

a = 3.9316 Å, b = 3.9316 Å, c = 22.6673 Å
α = 90.00°, β = 90.00°, γ = 120.00°
Sites, in units of the cell vectors:
Ag  0.0000  0.0000  0.0000
Ag  0.0000  0.0000  0.1731
Ag  0.3333  0.6667  0.6667
Ag  0.3333  0.6667  0.8398
Ag  0.6667  0.3333  0.3333
Ag  0.6667  0.3333  0.5064
Te  0.0000  0.0000  0.5860
Te  0.3333  0.6667  0.2526
Te  0.6667  0.3333  0.9193
Br  0.0000  0.0000  0.7569
Br  0.3333  0.6667  0.4236
Br  0.6667  0.3333  0.0903


Entry 5:
This record from the Alexandria database describes Ag12Te5Br3 after structural relaxation. The functional is PBE.

Properties
DFT total energy = -2.755 eV/atom

a = 14.3411 Å, b = 14.3411 Å, c = 14.3411 Å
α = 109.47°, β = 109.47°, γ = 109.47°
Sites, in units of the cell vectors:
Ag  0.0488  0.2276  0.1060
Ag  0.0488  0.3212  0.9428
Ag  0.0572  0.6060  0.3784
Ag  0.0572  0.9512  0.6788
Ag  0.1060  0.0488  0.2276
Ag  0.1060  0.5572  0.8784
Ag  0.1216  0.7276  0.6788
Ag  0.1216  0.8940  0.4428
Ag  0.1788  0.2276  0.6216
Ag  0.1788  0.4512  0.5572
Ag  0.2276  0.1060  0.0488
Ag  0.2276  0.6216  0.1788
Ag  0.2724  0.3212  0.8784
Ag  0.2724  0.4512  0.3940
Ag  0.3212  0.8784  0.2724
Ag  0.3212  0.9428  0.0488
Ag  0.3784  0.0572  0.6060
Ag  0.3784  0.8212  0.7724
Ag  0.3940  0.2724  0.4512
Ag  0.3940  0.6216  0.9428
Ag  0.4428  0.1216  0.8940
Ag  0.4428  0.8212  0.5488
Ag  0.4512  0.3940  0.2724
Ag  0.4512  0.5572  0.1788
Ag  0.5488  0.4428  0.8212
Ag  0.5488  0.6060  0.7276
Ag  0.5572  0.1788  0.4512
Ag  0.5572  0.8784  0.1060
Ag  0.6060  0.3784  0.0572
Ag  0.6060  0.7276  0.5488
Ag  0.6216  0.1788  0.2276
Ag  0.6216  0.9428  0.3940
Ag  0.6788  0.0572  0.9512
Ag  0.6788  0.1216  0.7276
Ag  0.7276  0.5488  0.6060
Ag  0.7276  0.6788  0.1216
Ag  0.7724  0.3784  0.8212
Ag  0.7724  0.8940  0.9512
Ag  0.8212  0.5488  0.4428
Ag  0.8212  0.7724  0.3784
Ag  0.8784  0.1060  0.5572
Ag  0.8784  0.2724  0.3212
Ag  0.8940  0.4428  0.1216
Ag  0.8940  0.9512  0.7724
Ag  0.9428  0.0488  0.3212
Ag  0.9428  0.3940  0.6216
Ag  0.9512  0.6788  0.0572
Ag  0.9512  0.7724  0.8940
Te  0.0000  0.0000  0.0000
Te  0.0000  0.0000  0.5000
Te  0.0000  0.5000  0.0000
Te  0.0000  0.5000  0.5000
Te  0.1250  0.7500  0.8750
Te  0.1250  0.8750  0.2500
Te  0.2500  0.1250  0.8750
Te  0.2500  0.6250  0.3750
Te  0.3750  0.2500  0.6250
Te  0.3750  0.6250  0.7500
Te  0.5000  0.0000  0.0000
Te  0.5000  0.0000  0.5000
Te  0.5000  0.5000  0.0000
Te  0.5000  0.5000  0.5000
Te  0.6250  0.3750  0.2500
Te  0.6250  0.7500  0.3750
Te  0.7500  0.3750  0.6250
Te  0.7500  0.8750  0.1250
Te  0.8750  0.1250  0.7500
Te  0.8750  0.2500  0.1250
Br  0.1250  0.2500  0.3750
Br  0.1250  0.3750  0.7500
Br  0.2500  0.3750  0.1250
Br  0.2500  0.8750  0.6250
Br  0.3750  0.1250  0.2500
Br  0.3750  0.7500  0.1250
Br  0.6250  0.2500  0.8750
Br  0.6250  0.8750  0.7500
Br  0.7500  0.1250  0.3750
Br  0.7500  0.6250  0.8750
Br  0.8750  0.6250  0.2500
Br  0.8750  0.7500  0.6250


Entry 6:
This record from the Alexandria database describes AgTeBr4 after structural relaxation. The functional is PBE.

Properties
ΔE to the lowest computed polymorph = 97.2 kJ/mol of atoms

a = 6.3183 Å, b = 6.3183 Å, c = 6.3183 Å
α = 60.00°, β = 60.00°, γ = 60.00°
Sites, in units of the cell vectors:
Ag  0.0000  0.0000  0.0000
Te  0.2500  0.2500  0.2500
Br  0.1229  0.6257  0.6257
Br  0.6257  0.1229  0.6257
Br  0.6257  0.6257  0.1229
Br  0.6257  0.6257  0.6257


Entry 7:
This record from the Alexandria database describes AgTeBr4 after structural relaxation. The functional is PBE.

Properties
ΔE to the lowest computed polymorph = 0.0 kJ/mol of atoms

a = 7.4143 Å, b = 7.4143 Å, c = 8.1863 Å
α = 90.06°, β = 90.06°, γ = 66.13°
Sites, in units of the cell vectors:
Ag  0.9996  0.0004  0.2500
Ag  0.0004  0.9996  0.7500
Te  0.0000  0.5000  0.0000
Te  0.5000  0.0000  0.5000
Br  0.2114  0.7290  0.0002
Br  0.2483  0.2492  0.2506
Br  0.2492  0.2483  0.7506
Br  0.2710  0.7886  0.4998
Br  0.7290  0.2114  0.5002
Br  0.7508  0.7517  0.2494
Br  0.7517  0.7508  0.7494
Br  0.7886  0.2710  0.9998


Entry 8:
This record from the Alexandria database describes Ag2TeBr6 after structural relaxation. The functional is PBE.

Properties
ΔE to the lowest computed polymorph = 2.5 kJ/mol of atoms

a = 11.0069 Å, b = 11.0069 Å, c = 8.0198 Å
α = 102.03°, β = 102.03°, γ = 43.50°
Sites, in units of the cell vectors:
Ag  0.0353  0.4067  0.1575
Ag  0.4067  0.0353  0.6575
Ag  0.5933  0.9647  0.3425
Ag  0.9647  0.5933  0.8425
Te  0.1452  0.8548  0.2500
Te  0.8548  0.1452  0.7500
Br  0.0552  0.7869  0.9187
Br  0.2131  0.9448  0.5813
Br  0.2618  0.5749  0.3351
Br  0.2755  0.2764  0.4224
Br  0.2764  0.2755  0.9224
Br  0.4251  0.7382  0.1649
Br  0.5749  0.2618  0.8351
Br  0.7236  0.7245  0.0776
Br  0.7245  0.7236  0.5776
Br  0.7382  0.4251  0.6649
Br  0.7869  0.0552  0.4187
Br  0.9448  0.2131  0.0813


Entry 9:
This record from the Alexandria database describes Ag3Te2Br after structural relaxation. The functional is PBE.

Properties
DFT total energy = -2.834 eV/atom

a = 6.6873 Å, b = 6.9474 Å, c = 8.5214 Å
α = 103.59°, β = 109.86°, γ = 99.94°
Sites, in units of the cell vectors:
Ag  0.0147  0.4250  0.2500
Ag  0.1818  0.0326  0.8046
Ag  0.4249  0.7736  0.4190
Ag  0.5751  0.2264  0.5810
Ag  0.8182  0.9674  0.1954
Ag  0.9853  0.5750  0.7500
Te  0.1196  0.7823  0.1098
Te  0.4889  0.1382  0.2301
Te  0.5111  0.8618  0.7699
Te  0.8804  0.2177  0.8902
Br  0.1851  0.3334  0.5632
Br  0.8149  0.6666  0.4368


Entry 10:
This record from the Alexandria database describes Ag4Te2Br3 after structural relaxation. The functional is PBE.

Properties
ΔE to the lowest computed polymorph = 0.0 kJ/mol of atoms

a = 9.4455 Å, b = 9.4455 Å, c = 7.4907 Å
α = 98.81°, β = 98.81°, γ = 58.71°
Sites, in units of the cell vectors:
Ag  0.9999  0.2303  0.0581
Ag  0.0001  0.7697  0.9419
Ag  0.2303  0.9999  0.5581
Ag  0.2595  0.2858  0.2336
Ag  0.2858  0.2595  0.7336
Ag  0.7142  0.7405  0.2664
Ag  0.7405  0.7142  0.7664
Ag  0.7697  0.0001  0.4419
Te  0.0117  0.3452  0.4524
Te  0.3452  0.0117  0.9524
Te  0.6548  0.9883  0.0476
Te  0.9883  0.6548  0.5476
Br  0.0284  0.9716  0.2500
Br  0.2788  0.4868  0.0166
Br  0.4868  0.2788  0.5166
Br  0.5132  0.7212  0.4834
Br  0.7212  0.5132  0.9834
Br  0.9716  0.0284  0.7500


Entry 11:
This record from the Alexandria database describes Ag4Te2Br5 after structural relaxation. The functional is PBE.

Properties
DFT total energy = -2.570 eV/atom

a = 4.1103 Å, b = 9.4777 Å, c = 9.5319 Å
α = 73.86°, β = 82.41°, γ = 89.51°
Sites, in units of the cell vectors:
Ag  0.0222  0.2168  0.4728
Ag  0.2197  0.3708  0.8870
Ag  0.7803  0.6292  0.1130
Ag  0.9778  0.7832  0.5272
Te  0.4889  0.3610  0.5908
Te  0.5111  0.6390  0.4092
Br  0.0899  0.3784  0.1805
Br  0.3309  0.8241  0.1065
Br  0.5000  0.0000  0.5000
Br  0.6691  0.1759  0.8935
Br  0.9101  0.6216  0.8195


Entry 12:
This record from the Alexandria database describes AgTeBr5 after structural relaxation. The functional is PBE.

Properties
ΔE to the lowest computed polymorph = 0.0 kJ/mol of atoms

a = 7.6248 Å, b = 7.6248 Å, c = 10.4556 Å
α = 109.15°, β = 109.15°, γ = 91.07°
Sites, in units of the cell vectors:
Ag  0.0982  0.9018  0.7500
Ag  0.9018  0.0982  0.2500
Te  0.0000  0.5000  0.0000
Te  0.5000  0.0000  0.5000
Br  0.1712  0.5973  0.8379
Br  0.1934  0.2010  0.9899
Br  0.2010  0.1934  0.4899
Br  0.3213  0.6787  0.2500
Br  0.4027  0.8288  0.6621
Br  0.5973  0.1712  0.3379
Br  0.6787  0.3213  0.7500
Br  0.7990  0.8066  0.5101
Br  0.8066  0.7990  0.0101
Br  0.8288  0.4027  0.1621